# NaWC2 (PBEsol, relaxed)
data_NaWC2
_space_group_name_H-M_alt 'F m -3 m'
_space_group_IT_number 225
_space_group_name_Hall '-F 4 2 3'
_cell_length_a 5.447
_cell_length_b 5.447
_cell_length_c 5.447
_cell_angle_alpha 90.00
_cell_angle_beta 90.00
_cell_angle_gamma 90.00
loop_
_atom_site_label
_atom_site_fract_x
_atom_site_fract_y
_atom_site_fract_z
Na1 0.000 0.000 0.000
W1 0.000 0.000 0.500
C1 0.250 0.250 0.250
# - V: 10.1 Å³/atom
# - Total DFT energy (no corrections): -0.253 hartree per atom
# - Theoretical density: 9.5 g/cm³
# - Total magnetization: 0.4 μB per formula unit